# 1
Density functional theory data (PBE-GGA) for a geometry-optimized CuBi3O structure.

Structure (POSCAR):
```
CuBi3O
1.0
-2.1718 1.5870 4.4187
-2.6100 -4.4550 0.3172
3.9028 -2.0963 2.6710
O Bi Cu
1 3 1
Direct
0.5000 0.5000 0.5000
0.0000 0.5000 0.0000
0.0000 0.0000 0.5000
0.5000 0.0000 0.0000
0.0000 0.0000 0.0000
```

ΔE_f (raw) = 0.774 eV/atom
Polymorph energy (0 for the lowest one) = 60.7 kJ/mol of atoms
V = 27.7 Å³/atom
Total DFT energy (no corrections) = -3.366 eV/atom

# 2
Density functional theory data (PBE-GGA) for a geometry-optimized Cu3BiO4 structure.

Structure (POSCAR):
```
Cu3BiO4
1.0
-4.1359 -0.5491 3.9484
-1.5418 -5.0265 -2.3140
3.6762 -2.7259 3.4717
O Bi Cu
8 2 6
Direct
0.2500 0.2500 0.2500
0.2500 0.7500 0.2500
0.2500 0.2500 0.7500
0.2500 0.7500 0.7500
0.7500 0.2500 0.2500
0.7500 0.2500 0.7500
0.7500 0.7500 0.2500
0.7500 0.7500 0.7500
0.0000 0.0000 0.0000
0.5000 0.5000 0.5000
0.0000 0.5000 0.2500
0.0000 0.5000 0.7500
0.2500 0.0000 0.5000
0.5000 0.2500 0.0000
0.5000 0.7500 0.0000
0.7500 0.0000 0.5000
```

ΔE_f (raw) = -0.680 eV/atom
Polymorph energy (0 for the lowest one) = 0.0 kJ/mol of atoms
V = 11.8 Å³/atom
Total DFT energy (no corrections) = -5.180 eV/atom

# 3
Density functional theory data (PBE-GGA) for a geometry-optimized CuBiO2 structure.

Structure (POSCAR):
```
CuBiO2
1.0
-1.7434 -2.1379 1.2738
1.9509 -0.2085 2.3202
-2.9099 4.0473 2.8103
O Bi Cu
2 1 1
Direct
0.0000 0.0000 0.7453
0.0000 0.0000 0.2547
0.5000 0.5000 0.5000
0.5000 0.5000 0.0000
```

ΔE_f (raw) = -0.167 eV/atom
V = 13.2 Å³/atom
Total DFT energy (no corrections) = -4.641 eV/atom

# 4
Density functional theory data (PBE-GGA) for a geometry-optimized CuBiOsO6 structure.

Structure (POSCAR):
```
CuBiOsO6
1.0
-4.4308 -4.3669 2.8834
1.5487 -4.8784 -5.0084
5.0810 2.8273 3.9368
Cu Bi Os O
2 2 2 12
Direct
0.5000 0.0000 0.5000
0.0000 0.0000 0.5000
0.8653 0.6153 0.7306
0.1347 0.3847 0.2695
0.5000 0.5000 0.0000
0.5000 0.0000 0.0000
0.4517 0.7017 0.9033
0.9385 0.1885 0.8771
0.8263 0.0945 0.2645
0.4382 0.6700 0.2645
0.4382 0.0945 0.2645
0.8263 0.6700 0.2645
0.5483 0.2983 0.0967
0.0615 0.8115 0.1229
0.1737 0.9055 0.7355
0.5618 0.3300 0.7355
0.5618 0.9055 0.7355
0.1737 0.3300 0.7355
```

ΔE_f (raw) = -0.658 eV/atom
V = 13.6 Å³/atom
Total DFT energy (no corrections) = -6.097 eV/atom

# 5
Density functional theory data (PBE-GGA) for a geometry-optimized CuBi2OsO8 structure.

Structure (POSCAR):
```
CuBi2OsO8
1.0
-4.1145 2.0664 0.7214
-1.0661 -4.0558 2.8594
2.7310 2.4486 5.8962
Cu Bi Os O
1 2 1 8
Direct
0.0000 0.0000 0.5000
0.4334 0.5080 0.7441
0.5666 0.4920 0.2559
0.0000 0.0000 0.0000
0.1450 0.7085 0.1605
0.6575 0.7881 0.9679
0.8675 0.1113 0.2334
0.8550 0.2915 0.8395
0.3425 0.2119 0.0321
0.1325 0.8887 0.7666
0.7000 0.7259 0.5120
0.3000 0.2741 0.4880
```

ΔE_f (raw) = -0.912 eV/atom
V = 13.5 Å³/atom
Total DFT energy (no corrections) = -6.142 eV/atom

# 6
Density functional theory data (PBE-GGA) for a geometry-optimized CuBiP2O structure.

Structure (POSCAR):
```
CuBiP2O
1.0
-1.5798 2.2755 3.9081
0.5041 -4.0253 2.5475
3.4760 0.9679 0.8416
O P Bi Cu
1 2 1 1
Direct
0.0000 0.0000 0.5000
0.0000 0.5000 0.0000
0.5000 0.0000 0.0000
0.5000 0.5000 0.5000
0.0000 0.0000 0.0000
```

ΔE_f (raw) = 0.328 eV/atom
Polymorph energy (0 for the lowest one) = 0.0 kJ/mol of atoms
V = 17.0 Å³/atom
Total DFT energy (no corrections) = -4.423 eV/atom

# 7
Density functional theory data (PBE-GGA) for a geometry-optimized Cu2BiPO6 structure.

Structure (POSCAR):
```
Cu2BiPO6
1.0
-2.5421 1.2523 4.3389
0.0612 -7.6369 2.2400
10.5007 1.7421 5.6494
Cu Bi P O
8 4 4 24
Direct
0.2500 0.6825 0.9326
0.7500 0.8138 0.5897
0.7500 0.1825 0.5674
0.7500 0.6862 0.0897
0.2500 0.3138 0.9103
0.2500 0.1862 0.4103
0.2500 0.8175 0.4326
0.7500 0.3175 0.0674
0.7500 0.5277 0.3900
0.2500 0.4723 0.6100
0.7500 0.9723 0.8901
0.2500 0.0277 0.1099
0.2500 0.0437 0.6979
0.7500 0.9563 0.3021
0.2500 0.4563 0.1979
0.7500 0.5437 0.8021
0.7500 0.4330 0.6980
0.9995 0.5097 0.8736
0.2500 0.2683 0.2305
0.9995 0.9903 0.3736
0.7500 0.7683 0.2695
0.9972 0.8208 0.0071
0.4995 0.4903 0.1264
0.5005 0.5097 0.8736
0.0028 0.3208 0.4929
0.7500 0.7317 0.7695
0.2500 0.2317 0.7305
0.0005 0.4903 0.1264
0.7500 0.0670 0.1980
0.4972 0.3208 0.4929
0.4995 0.0097 0.6264
0.4972 0.1792 0.9929
0.5028 0.8208 0.0071
0.5028 0.6792 0.5071
0.2500 0.9330 0.8020
0.0028 0.1792 0.9929
0.2500 0.5670 0.3020
0.0005 0.0097 0.6264
0.9972 0.6792 0.5071
0.5005 0.9903 0.3736
```

ΔE_f (raw) = -1.341 eV/atom
V = 12.4 Å³/atom
Total DFT energy (no corrections) = -6.064 eV/atom

# 8
Density functional theory data (PBE-GGA) for a geometry-optimized Cu3Bi2P2O14 structure.

Structure (POSCAR):
```
Cu3Bi2P2O14
1.0
3.0582 6.7411 -0.0358
-3.0582 6.7411 -0.0358
0.0000 6.2735 7.1371
Cu Bi P O
3 2 2 14
Direct
0.5000 0.5000 0.0000
0.5000 0.0000 0.0000
0.0000 0.5000 0.0000
0.8316 0.8316 0.2320
0.1684 0.1684 0.7680
0.2052 0.2052 0.3417
0.7948 0.7948 0.6583
0.8423 0.8423 0.9814
0.1577 0.1577 0.0186
0.8797 0.8797 0.4478
0.1203 0.1203 0.5522
0.3524 0.3524 0.2611
0.6476 0.6476 0.7389
0.7964 0.2036 0.0000
0.2036 0.7964 0.0000
0.3949 0.9695 0.2751
0.9695 0.3949 0.2751
0.6051 0.0305 0.7249
0.0305 0.6051 0.7249
0.3604 0.3604 0.9361
0.6397 0.6397 0.0639
```

ΔE_f (raw) = -1.051 eV/atom
V = 14.1 Å³/atom
Total DFT energy (no corrections) = -5.826 eV/atom

> What is the formula in the first record?

CuBi3O

> Which formula does entry 5 have?

CuBi2OsO8